LiReNi after structural relaxation, computed with PBE.

```
LiReNi
1.0
2.660 0.000 0.000
-1.330 2.303 0.000
0.000 0.000 6.685
Li Ni Re
1 1 1
Cartesian
0.000 0.000 0.090
1.330 0.768 2.269
0.000 1.536 4.325
```

DFT formation energy: 0.206 eV per atom
DOS at the Fermi energy: 3.69 states/eV per cell

LiRe2Ni after structural relaxation, computed with PBE.

```
LiRe2Ni
1.0
-1.878 -1.793 -0.021
1.354 -1.378 -3.465
3.138 -3.317 2.545
Li Ni Re
1 1 2
Cartesian
1.623 -1.715 1.316
2.033 -4.011 0.119
0.015 -0.016 0.012
0.512 -2.403 -1.115
```

DFT formation energy: 0.221 eV per atom
DOS at the Fermi energy: 3.14 states/eV per cell

LiRe2Ni after structural relaxation, computed with PBE.

```
LiRe2Ni
1.0
-2.869 -2.726 -1.464
-1.161 -3.306 2.350
-3.856 -0.124 1.708
Li Ni Re
1 1 2
Cartesian
-3.944 -3.078 1.297
-5.915 -4.617 1.946
0.000 0.000 0.000
-1.972 -1.539 0.649
```

DFT formation energy: 0.151 eV per atom
DOS at the Fermi energy: 4.16 states/eV per cell

LiRe2Ni after structural relaxation, computed with PBE.

```
LiRe2Ni
1.0
2.572 0.004 0.000
-0.723 2.468 0.000
0.000 0.000 8.746
Li Ni Re
1 1 2
Cartesian
0.925 1.236 2.186
0.925 1.236 6.559
0.000 0.000 8.605
0.000 0.000 4.513
```

DFT formation energy: 0.258 eV per atom
DOS at the Fermi energy: 3.43 states/eV per cell

LiReNi after structural relaxation, computed with PBE.

```
LiReNi
1.0
-10.318 4.261 -0.923
-4.252 -0.989 -1.185
2.530 -2.931 2.339
Re Li Ni
2 2 2
Cartesian
-10.411 1.126 0.447
-2.364 -2.459 0.276
-0.371 -0.844 0.249
-6.157 -0.142 0.207
-3.863 -0.742 1.398
-8.412 0.547 -1.010
```

DFT formation energy: 0.178 eV per atom
DOS at the Fermi energy: 5.71 states/eV per cell

LiReNi after structural relaxation, computed with PBE.

```
LiReNi
1.0
-2.517 1.931 -2.718
3.335 -2.106 -1.375
-2.795 -4.178 -0.379
Re Li Ni
2 2 2
Cartesian
0.685 -1.805 -1.917
-2.663 -2.548 -2.554
0.000 0.000 0.000
-1.398 -2.089 -0.190
-0.712 -3.894 -2.107
-1.265 -0.459 -2.365
```

DFT formation energy: 0.458 eV per atom
DOS at the Fermi energy: 3.39 states/eV per cell

LiRe2Ni after structural relaxation, computed with PBE.

```
LiRe2Ni
1.0
3.147 0.000 0.000
0.000 3.147 0.000
0.000 0.000 5.155
Li Ni Re
1 1 2
Cartesian
1.574 1.574 1.289
1.574 1.574 3.866
0.000 0.000 0.047
0.000 0.000 2.530
```

DFT formation energy: 0.449 eV per atom
DOS at the Fermi energy: 2.72 states/eV per cell

LiRe2Ni after structural relaxation, computed with PBE.

```
LiRe2Ni
1.0
0.266 -1.784 3.742
1.506 2.146 3.221
-2.536 1.205 3.060
Re Li Ni
2 1 1
Cartesian
-0.191 0.392 2.506
-0.573 1.176 7.518
0.000 0.000 0.000
-0.382 0.784 5.012
```

DFT formation energy: 0.545 eV per atom
DOS at the Fermi energy: 4.11 states/eV per cell

LiRe2Ni after structural relaxation, computed with PBE.

```
LiRe2Ni
1.0
4.241 0.000 0.000
0.000 2.560 0.041
0.000 1.143 4.949
Li Ni Re
1 1 2
Cartesian
2.121 0.926 1.248
2.121 2.777 3.743
0.000 2.549 0.051
0.000 1.862 2.485
```

DFT formation energy: 0.227 eV per atom
DOS at the Fermi energy: 2.76 states/eV per cell

LiRe2Ni after structural relaxation, computed with PBE.

```
LiRe2Ni
1.0
-2.790 -0.294 2.207
2.215 -0.012 2.799
-0.861 8.996 2.997
Re Li Ni
4 2 2
Cartesian
-1.651 2.067 2.454
0.789 2.201 2.800
-0.836 6.632 4.157
-1.174 6.479 6.597
-0.288 -0.153 2.503
0.533 4.415 4.150
0.000 0.000 0.000
-1.969 4.274 3.854
```

DFT formation energy: 0.665 eV per atom
DOS at the Fermi energy: 5.00 states/eV per cell

LiReNi3 after structural relaxation, computed with PBE.

```
LiReNi3
1.0
2.515 0.548 0.100
1.240 6.650 -1.156
0.271 -2.738 8.143
Li Re Ni
2 2 6
Cartesian
1.181 1.387 3.540
1.923 3.994 4.025
2.583 0.287 7.625
3.035 5.642 0.040
1.462 -0.227 5.425
1.642 5.608 2.141
2.249 2.120 5.895
2.578 1.423 1.402
3.040 4.506 6.264
0.853 3.261 1.670
```

DFT formation energy: 0.013 eV per atom
DOS at the Fermi energy: 8.98 states/eV per cell

LiReNi after structural relaxation, computed with PBE.

```
LiReNi
1.0
2.015 -4.776 0.000
2.015 4.776 0.000
0.000 0.000 3.950
Re Li Ni
2 2 2
Cartesian
2.015 -4.067 0.987
2.015 4.067 2.962
2.015 2.386 0.987
2.015 -2.386 2.962
2.015 -0.799 0.987
2.015 0.799 2.962
```

DFT formation energy: 0.230 eV per atom
DOS at the Fermi energy: 2.69 states/eV per cell

Question: DOS at the Fermi energy of number 12 (LiReNi)?
Answer: 2.69 states/eV per cell

Question: Which value of DOS at the Fermi energy does entry 7 give?
Answer: 2.72 states/eV per cell

Question: Among the records above, which one has the lowest DOS at the Fermi energy?
Answer: number 12